Computed, not measured: a relaxed structure of Pr4V5Si4O22 at the PBE with a Hubbard U level of DFT.

Cell: 7.360 7.360 11.177 Å, 99.67 99.67 45.73°
Fractional coordinates of all 35 atoms:
Pr  0.073  0.073  0.249
Pr  0.356  0.356  0.243
Pr  0.644  0.644  0.757
Pr  0.927  0.927  0.751
V  0.000  0.000  0.500
V  0.000  0.500  0.500
V  0.500  0.000  0.500
V  0.500  0.500  0.000
V  0.500  0.500  0.500
Si  0.138  0.138  0.958
Si  0.297  0.297  0.771
Si  0.703  0.703  0.229
Si  0.862  0.862  0.042
O  0.037  0.512  0.689
O  0.143  0.143  0.477
O  0.165  0.695  0.088
O  0.186  0.186  0.100
O  0.219  0.736  0.369
O  0.222  0.222  0.869
O  0.264  0.781  0.631
O  0.305  0.835  0.912
O  0.350  0.350  0.481
O  0.413  0.413  0.838
O  0.488  0.963  0.311
O  0.512  0.037  0.689
O  0.587  0.587  0.162
O  0.650  0.650  0.519
O  0.695  0.165  0.088
O  0.736  0.219  0.369
O  0.778  0.778  0.131
O  0.781  0.264  0.631
O  0.814  0.814  0.900
O  0.835  0.305  0.912
O  0.857  0.857  0.523
O  0.963  0.488  0.311

Properties
VASP energy, eV per cell: -283.474